The following is a GGA-PBEsol calculation of crystalline K3ReMoO8 at its relaxed geometry, from the Alexandria database.

For the raw total energy, the calculation gives -7.389 eV/atom. As for the uncorrected formation energy: -25.56 eV/f.u.

The space group is R3m (No. 160, hexagonal axes) and the conventional cell measures 6.0380, 6.0380 and 21.1368 Å, with angles of 90.00, 90.00 and 120.00 degrees. The distinct sites, in fractional coordinates, are K at (0.0000, 0.0000, 0.0000), K at (0.0000, 0.0000, 0.1859), K at (0.0000, 0.0000, 0.3924), Re at (0.0000, 0.0000, 0.5977), Mo at (0.0000, 0.0000, 0.7892), O at (0.0000, 0.0000, 0.5154), O at (0.0000, 0.0000, 0.8729), O at (0.0163, 0.5082, 0.4267) and O at (0.1755, 0.3510, 0.2915).